Entry 1:
Below is LaTbSb2 after structural relaxation, with properties calculated at the PBE level.

a b c (Å): 4.547 4.547 11.747
angles (deg): 90.00 90.00 90.00
Positions (direct):
La (0.250, 0.250, 0.213)
La (0.750, 0.750, 0.787)
Tb (0.250, 0.750, 0.500)
Tb (0.750, 0.250, 0.500)
Sb (0.250, 0.250, 0.689)
Sb (0.250, 0.750, 0.000)
Sb (0.750, 0.250, 0.000)
Sb (0.750, 0.750, 0.311)

Results
The value obtained for the energy is -42.688 eV/cell. Its crystal system is tetragonal. Its space group is P4/nmm. Its volume is 30.36 A^3/atom.

=====

Entry 2:
Below is DyHoB4 after structural relaxation, with properties calculated at the PBE level.

a b c (Å): 5.058 5.058 5.058
angles (deg): 142.07 111.49 81.08
Positions (direct):
Dy (0.000, 0.000, 0.000)
Ho (0.500, 0.500, 0.000)
B (0.083, 0.750, 0.333)
B (0.417, 0.750, 0.667)
B (0.583, 0.250, 0.333)
B (0.917, 0.250, 0.667)

Results
The value obtained for the energy is -39.355 eV/cell. Its crystal system is orthorhombic. Its space group is Immm. Its volume is 11.99 A^3/atom.

=====

- Number 2 is which compound?
  DyHoB4

=====

What did the first record say?
Below is LaTbSb2 after structural relaxation, with properties calculated at the PBE level.

a b c (Å): 4.547 4.547 11.747
angles (deg): 90.00 90.00 90.00
Positions (direct):
La (0.250, 0.250, 0.213)
La (0.750, 0.750, 0.787)
Tb (0.250, 0.750, 0.500)
Tb (0.750, 0.250, 0.500)
Sb (0.250, 0.250, 0.689)
Sb (0.250, 0.750, 0.000)
Sb (0.750, 0.250, 0.000)
Sb (0.750, 0.750, 0.311)

Results
The value obtained for the energy is -42.688 eV/cell. Its crystal system is tetragonal. Its space group is P4/nmm. Its volume is 30.36 A^3/atom.

=====

- Which of these has the highest energy?
  DyHoB4

=====

- Which formula does entry 2 have?
  DyHoB4